Entry 1:
Below is a geometry-optimized Tb4Y6Th structure, with properties calculated at the PBE-GGA level.

Computed properties:
VASP energy = -5.746 eV per atom
N(E_F) = 79.603 states/eV/cell
Energy relative to the elements = 0.138 eV per atom

Cell and atoms, written as CIF:
```
data_Tb4Y6Th
_chemical_formula_sum 'Tb16 Y24 Th4'
_space_group_name_H-M_alt 'C m c m'
_space_group_IT_number 63
_space_group_name_Hall '-C 2c 2'
_cell_length_a 5.732
_cell_length_b 9.714
_cell_length_c 25.741
_cell_angle_alpha 90.00
_cell_angle_beta 90.00
_cell_angle_gamma 90.00
loop_
_atom_site_label
_atom_site_fract_x
_atom_site_fract_y
_atom_site_fract_z
Tb1 0.000 0.022 0.122
Tb2 0.000 0.340 0.042
Y1 0.000 0.000 0.000
Y2 0.000 0.018 0.250
Y3 0.000 0.317 0.602
Y4 0.000 0.352 0.183
Th1 0.000 0.317 0.750
```

***

Entry 2:
Below is a geometry-optimized B2C structure, with properties calculated at the PBE-GGA level.

Computed properties:
VASP energy = -6.978 eV per atom
N(E_F) = 2.121 states/eV/cell
Energy relative to the elements = 0.548 eV per atom

Cell and atoms, written as CIF:
```
data_B2C
_chemical_formula_sum 'B8 C4'
_space_group_name_H-M_alt 'P 3 m 1'
_space_group_IT_number 156
_cell_length_a 2.5368
_cell_length_b 2.5368
_cell_length_c 15.0551
_cell_angle_alpha 90.00
_cell_angle_beta 90.00
_cell_angle_gamma 120.00
loop_
_space_group_symop_operation_xyz
'x,y,z'
'-y,x-y,z'
'-x+y,-x,z'
'-y,-x,z'
'-x+y,y,z'
'x,x-y,z'
loop_
_atom_site_label
_atom_site_fract_x
_atom_site_fract_y
_atom_site_fract_z
B1 0.0000 0.0000 0.0000
B2 0.0000 0.0000 0.1119
B3 0.0000 0.0000 0.5916
B4 0.3333 0.6667 0.1873
B5 0.3333 0.6667 0.2999
B6 0.3333 0.6667 0.7436
B7 0.6667 0.3333 0.8159
B8 0.6667 0.3333 0.9275
C1 0.0000 0.0000 0.4854
C2 0.3333 0.6667 0.6412
C3 0.6667 0.3333 0.3499
C4 0.6667 0.3333 0.4489
```

***

Entry 3:
Below is a geometry-optimized Si5Ag4 structure, with properties calculated at the PBE-GGA level.

Computed properties:
VASP energy = -3.855 eV per atom
Raw formation energy = 0.425 eV per atom
N(E_F) = 7.825 states/eV/cell

Cell and atoms, written as CIF:
```
data_Si5Ag4
_chemical_formula_sum 'Si10 Ag8'
_space_group_name_H-M_alt 'I 4/m m m'
_space_group_IT_number 139
_space_group_name_Hall '-I 4 2'
_cell_length_a 9.058
_cell_length_b 9.058
_cell_length_c 3.694
_cell_angle_alpha 90.00
_cell_angle_beta 90.00
_cell_angle_gamma 90.00
loop_
_atom_site_label
_atom_site_fract_x
_atom_site_fract_y
_atom_site_fract_z
Si1 0.000 0.000 0.000
Si2 0.175 0.175 0.500
Ag1 0.000 0.328 0.000
```

***

Entry 4:
Below is a geometry-optimized ZnTc2Hg structure, with properties calculated at the PBE-GGA level.

Computed properties:
VASP energy = -5.064 eV per atom
N(E_F) = 7.075 states/eV/cell
Energy relative to the elements = 0.513 eV per atom

Cell and atoms, written as CIF:
```
data_ZnTc2Hg
_chemical_formula_sum 'Zn2 Tc4 Hg2'
_space_group_name_H-M_alt 'C 1 2/m 1'
_space_group_IT_number 12
_cell_length_a 5.368
_cell_length_b 9.250
_cell_length_c 2.742
_cell_angle_alpha 90.00
_cell_angle_beta 108.72
_cell_angle_gamma 90.00
loop_
_space_group_symop_operation_xyz
'x,y,z'
'-x,-y,-z'
'-x,y,-z'
'x,-y,z'
'x+1/2,y+1/2,z'
'-x+1/2,-y+1/2,-z'
'-x+1/2,y+1/2,-z'
'x+1/2,-y+1/2,z'
loop_
_atom_site_label
_atom_site_fract_x
_atom_site_fract_y
_atom_site_fract_z
Zn1 0.000 0.000 0.000
Tc1 0.250 0.250 0.500
Hg1 0.000 0.500 0.000
```